Here is Ca2MgAl at its PBEsol-relaxed geometry from Alexandria. Energies are from meta-GGA SCAN.

## Properties
- Energy: -8.1489 eV per atom
- D(E_F): 2.2 states/eV/f.u.
- ΔH_f (0 K): -3.1 kcal/mol of atoms

Lattice parameters (Å, degrees): 3.6387 3.6387 8.2673 90.00 90.00 90.00
Space group P4/mmm (No. 123)
Inequivalent atoms, fractional coordinates:
Ca1 0.0000 0.0000 0.2274 (multiplicity 2)
Mg1 0.5000 0.5000 0.5000 (multiplicity 1)
Al1 0.5000 0.5000 0.0000 (multiplicity 1)


Here is CaMgAl2 at its PBEsol-relaxed geometry from Alexandria. Energies are from meta-GGA SCAN.

## Properties
- Energy: -7.5646 eV per atom
- D(E_F): 1.7 states/eV/f.u.
- ΔH_f (0 K): -0.7 kcal/mol of atoms

Lattice parameters (Å, degrees): 10.8884 3.1677 5.3779 90.00 106.29 90.00
Space group Cm (No. 8)
Inequivalent atoms, fractional coordinates:
Ca1 0.0000 0.0000 0.0000 (multiplicity 2)
Mg1 0.2099 0.0000 0.6494 (multiplicity 2)
Al1 0.2582 0.5000 0.1922 (multiplicity 2)
Al2 0.4523 0.0000 0.4808 (multiplicity 2)


Here is Ca2MgAl at its PBEsol-relaxed geometry from Alexandria. Energies are from meta-GGA SCAN.

## Properties
- Energy: -8.0543 eV per atom
- D(E_F): 2.4 states/eV/f.u.
- ΔH_f (0 K): -0.9 kcal/mol of atoms

Lattice parameters (Å, degrees): 3.5795 3.5795 8.8510 90.00 90.00 90.00
Space group P4mm (No. 99)
Inequivalent atoms, fractional coordinates:
Ca1 0.0000 0.0000 0.0000 (multiplicity 1)
Ca2 0.5000 0.5000 0.3450 (multiplicity 1)
Mg1 0.0000 0.0000 0.6019 (multiplicity 1)
Al1 0.5000 0.5000 0.7712 (multiplicity 1)


Here is Ca2MgAlTe at its PBEsol-relaxed geometry from Alexandria. Energies are from meta-GGA SCAN.

## Properties
- Formation energy without anion corrections: -0.24 eV per atom
- Energy: -14.1010 eV per atom
- D(E_F): 3.0 states/eV/f.u.

Lattice parameters (Å, degrees): 5.6952 5.6952 5.0284 90.00 90.00 90.00
Space group P4/mmm (No. 123)
Inequivalent atoms, fractional coordinates:
Ca1 0.0000 0.5000 0.0000 (multiplicity 2)
Mg1 0.0000 0.0000 0.5000 (multiplicity 1)
Al1 0.0000 0.0000 0.0000 (multiplicity 1)
Te1 0.5000 0.5000 0.5000 (multiplicity 1)


Here is CaMnAl2 at its PBEsol-relaxed geometry from Alexandria. Energies are from meta-GGA SCAN.

## Properties
- Energy: -10.9600 eV per atom
- D(E_F): 1.3 states/eV/f.u.
- ΔH_f (0 K): -2.4 kcal/mol of atoms

Lattice parameters (Å, degrees): 2.9739 4.2469 6.1348 90.00 90.13 90.00
Space group Pm (No. 6)
Inequivalent atoms, fractional coordinates:
Ca1 0.0000 0.0000 0.0000 (multiplicity 1)
Mn1 0.9968 0.5000 0.3773 (multiplicity 1)
Al1 0.4982 0.0000 0.4643 (multiplicity 1)
Al2 0.4988 0.5000 0.7246 (multiplicity 1)


Here is CaMnAl2 at its PBEsol-relaxed geometry from Alexandria. Energies are from meta-GGA SCAN.

## Properties
- Energy: -10.9003 eV per atom
- D(E_F): 2.4 states/eV/f.u.
- ΔH_f (0 K): -1.0 kcal/mol of atoms

Lattice parameters (Å, degrees): 3.1023 3.1023 7.5515 90.00 90.00 90.00
Space group P4mm (No. 99)
Inequivalent atoms, fractional coordinates:
Ca1 0.0000 0.0000 0.0000 (multiplicity 1)
Mn1 0.5000 0.5000 0.2938 (multiplicity 1)
Al1 0.0000 0.0000 0.4629 (multiplicity 1)
Al2 0.5000 0.5000 0.6896 (multiplicity 1)


Here is CaMn3Al9 at its PBEsol-relaxed geometry from Alexandria. Energies are from meta-GGA SCAN.

## Properties
- Energy: -10.6485 eV per atom
- D(E_F): 6.4 states/eV/f.u.
- ΔH_f (0 K): -7.5 kcal/mol of atoms

Lattice parameters (Å, degrees): 4.9399 12.6015 6.6861 90.00 111.10 90.00
Space group C2/m (No. 12)
Inequivalent atoms, fractional coordinates:
Ca1 0.0000 0.0000 0.0000 (multiplicity 2)
Mn1 0.0000 0.5000 0.5000 (multiplicity 2)
Mn2 0.2500 0.2500 0.0000 (multiplicity 4)
Al1 0.0000 0.0000 0.5000 (multiplicity 2)
Al2 0.0929 0.3878 0.2128 (multiplicity 8)
Al3 0.1732 0.1762 0.3335 (multiplicity 8)


Here is CaMnAl4 at its PBEsol-relaxed geometry from Alexandria. Energies are from meta-GGA SCAN.

## Properties
- Energy: -9.9397 eV per atom
- D(E_F): 3.1 states/eV/f.u.
- ΔH_f (0 K): -2.7 kcal/mol of atoms

Lattice parameters (Å, degrees): 7.5773 7.5773 7.5773 90.00 90.00 90.00
Space group F-43m (No. 216)
Inequivalent atoms, fractional coordinates:
Ca1 0.0000 0.0000 0.0000 (multiplicity 4)
Mn1 0.2500 0.2500 0.7500 (multiplicity 4)
Al1 0.1250 0.1250 0.3750 (multiplicity 16)


Here is CaMnAl at its PBEsol-relaxed geometry from Alexandria. Energies are from meta-GGA SCAN.

## Properties
- Energy: -11.6490 eV per atom
- D(E_F): 2.4 states/eV/f.u.
- ΔH_f (0 K): 5.6 kcal/mol of atoms

Lattice parameters (Å, degrees): 3.1475 3.1475 7.0534 90.00 90.00 120.00
Space group P3m1 (No. 156)
Inequivalent atoms, fractional coordinates:
Ca1 0.0000 0.0000 0.0000 (multiplicity 1)
Mn1 0.3333 0.6667 0.6414 (multiplicity 1)
Al1 0.6667 0.3333 0.3715 (multiplicity 1)


Here is CaMn2Al at its PBEsol-relaxed geometry from Alexandria. Energies are from meta-GGA SCAN.

## Properties
- Energy: -13.3974 eV per atom
- D(E_F): 3.1 states/eV/f.u.
- ΔH_f (0 K): 1.9 kcal/mol of atoms

Lattice parameters (Å, degrees): 2.8516 2.8516 7.5768 90.00 90.00 90.00
Space group P4mm (No. 99)
Inequivalent atoms, fractional coordinates:
Ca1 0.0000 0.0000 0.0000 (multiplicity 1)
Mn1 0.0000 0.0000 0.4423 (multiplicity 1)
Mn2 0.5000 0.5000 0.3023 (multiplicity 1)
Al1 0.5000 0.5000 0.6651 (multiplicity 1)


Here is CaMn2Al at its PBEsol-relaxed geometry from Alexandria. Energies are from meta-GGA SCAN.

## Properties
- Energy: -13.2961 eV per atom
- D(E_F): 2.3 states/eV/f.u.
- ΔH_f (0 K): 4.3 kcal/mol of atoms

Lattice parameters (Å, degrees): 7.3130 2.8561 6.6013 90.00 97.13 90.00
Space group Cm (No. 8)
Inequivalent atoms, fractional coordinates:
Ca1 0.0000 0.0000 0.0000 (multiplicity 2)
Mn1 0.2641 0.5000 0.3293 (multiplicity 2)
Mn2 0.4933 0.0000 0.4325 (multiplicity 2)
Al1 0.2333 0.0000 0.6479 (multiplicity 2)


Here is Ca2MnAlO5 at its PBEsol-relaxed geometry from Alexandria. Energies are from meta-GGA SCAN.

## Properties
- Formation energy without anion corrections: -3.03 eV per atom
- Energy: -11.5338 eV per atom
- D(E_F): 0.8 states/eV/f.u.

Lattice parameters (Å, degrees): 14.4675 5.5612 5.2771 90.00 90.00 90.00
Space group Ima2 (No. 46)
Inequivalent atoms, fractional coordinates:
Ca1 0.1093 0.0307 0.0000 (multiplicity 8)
Mn1 0.0000 0.0000 0.5103 (multiplicity 4)
Al1 0.2500 0.5747 0.9680 (multiplicity 4)
O1 0.0136 0.7458 0.7582 (multiplicity 8)
O2 0.1457 0.0703 0.5393 (multiplicity 8)
O3 0.2500 0.6421 0.6329 (multiplicity 4)